# SnHN2, relaxed, DFT GGA-PBE
data_SnHN2
_symmetry_space_group_name_H-M 'P 1'
_symmetry_Int_Tables_number 1
_cell_length_a 5.023
_cell_length_b 5.023
_cell_length_c 5.023
_cell_angle_alpha 39.08
_cell_angle_beta 39.08
_cell_angle_gamma 39.08
loop_
_symmetry_equiv_pos_as_xyz
'x,y,z'
loop_
_atom_site_label
_atom_site_fract_x
_atom_site_fract_y
_atom_site_fract_z
H1 0.000 0.000 0.000
N1 0.909 0.909 0.909
N2 0.091 0.091 0.091
Sn1 0.500 0.500 0.500
# E_tot in eV/f.u.: -22.1
# Energy relative to the lowest polymorph listed for this composition in meV per atom: 0
# Volume in Å³ per atom: 11.325
# Total magnetic moment in μB/atom: 0.250
# Density of states at the Fermi level in states/eV/f.u.: 0.75